(1)
PBE MnPbW3, optimized geometry; ΔE_f = 1.4058 eV/atom; crystal system = cubic; SG = No. 221
1.0
4.5610 0.0000 0.0000
0.0000 4.5610 0.0000
0.0000 0.0000 4.5610
Mn Pb W
1 1 3
Cartesian
0.0000 0.0000 0.0000 Mn
2.2805 2.2805 2.2805 Pb
0.0000 0.0000 2.2805 W
0.0000 2.2805 0.0000 W
2.2805 0.0000 0.0000 W

=====

(2)
PBE ErHfMn, optimized geometry; ΔE_f = 0.1200 eV/atom; crystal system = orthorhombic; SG = No. 64
1.0
3.1861 -5.7262 0.0000
3.1861 5.7262 0.0000
0.0000 0.0000 7.2264
Er Hf Mn
4 4 4
Cartesian
3.1861 3.5316 6.4681 Er
3.1861 2.1947 2.8549 Er
3.1861 -2.1947 4.3716 Er
3.1861 -3.5316 0.7584 Er
1.5931 0.5087 5.4198 Hf
1.5931 -0.5087 1.8066 Hf
4.7792 0.5087 5.4198 Hf
4.7792 -0.5087 1.8066 Hf
3.1861 4.7304 3.9256 Mn
3.1861 0.9958 0.3124 Mn
3.1861 -0.9958 6.9141 Mn
3.1861 -4.7304 3.3009 Mn

=====

(3)
PBE LiCaLaOs, optimized geometry; ΔE_f = 0.0927 eV/atom; crystal system = cubic; SG = No. 216
1.0
0.0000 3.5723 3.5723
3.5723 0.0000 3.5723
3.5723 3.5723 0.0000
Li Ca La Os
1 1 1 1
Cartesian
0.0000 0.0000 0.0000 Li
1.7862 1.7862 1.7862 Ca
5.3585 5.3585 5.3585 La
3.5723 3.5723 3.5723 Os

=====

(4)
PBE NdBe2Cu10, optimized geometry; ΔE_f = -0.0913 eV/atom; crystal system = orthorhombic; SG = No. 69
1.0
0.0000 5.8039 6.1201
2.3696 0.0000 6.1201
2.3696 5.8039 0.0000
Nd Be Cu
1 2 10
Cartesian
0.0000 0.0000 0.0000 Nd
1.1848 0.0000 3.0600 Be
1.1848 5.8039 3.0600 Be
1.1848 2.9019 0.0000 Cu
2.3696 3.7963 2.1999 Cu
2.3696 4.5273 4.6284 Cu
2.3696 7.8115 2.1999 Cu
2.3696 7.0805 4.6284 Cu
1.1848 2.9019 6.1201 Cu
2.3696 4.5273 7.6117 Cu
2.3696 3.7963 10.0402 Cu
2.3696 7.0805 7.6117 Cu
2.3696 7.8115 10.0402 Cu

=====

(5)
PBE Cr2CdTc, optimized geometry; ΔE_f = 0.3263 eV/atom; crystal system = tetragonal; SG = No. 123
1.0
3.0269 0.0000 0.0000
0.0000 3.0269 0.0000
0.0000 0.0000 6.6231
Cr Cd Tc
2 1 1
Cartesian
0.0000 0.0000 1.4026 Cr
0.0000 0.0000 5.2205 Cr
1.5135 1.5135 3.3115 Cd
1.5135 1.5135 0.0000 Tc

=====

(6)
PBE ScAuOF2, optimized geometry; crystal system = tetragonal; formation energy (no corrections) = -11.22 eV/f.u.; SG = No. 123
1.0
4.0979 0.0000 0.0000
0.0000 4.0979 0.0000
0.0000 0.0000 4.1744
Sc Au O F
1 1 1 2
Cartesian
0.0000 0.0000 0.0000 Sc
2.0490 2.0490 2.0872 Au
0.0000 0.0000 2.0872 O
0.0000 2.0490 0.0000 F
2.0490 0.0000 0.0000 F

=====

In order of appearance, E = -8.942 -7.775 -4.925 -4.182 -7.306 -5.905 eV per atom.
In order of appearance, theoretical density = 14240 10093 6851 7869 8603 7010 kg/m³.
In order of appearance, V = 18.98 21.97 22.79 12.95 15.17 14.02 Å³/atom.